# 1
Here is a relaxed DySc3Pd6 crystal from the Alexandria database. Energies are from PBE.

Properties
total magnetic moment: 0.00 μB/f.u.
space-group type: No. 11
ΔE_f: -0.878 eV/atom
crystal system: monoclinic

extended XYZ file:
```
20
Lattice="8.487 0.000 0.000 0.000 4.442 0.000 -1.425 0.000 9.583" Properties=species:S:1:pos:R:3 pbc="T T T"
Dy -0.001 1.111 3.587
Dy 7.063 3.332 5.996
Sc 2.030 1.111 0.389
Sc 1.740 3.332 7.804
Sc 2.942 1.111 5.809
Sc 4.120 3.332 3.773
Sc 5.323 1.111 1.778
Sc 5.032 3.332 9.193
Pd -0.766 3.332 8.819
Pd 0.328 1.111 6.981
Pd 1.122 3.332 2.030
Pd 1.466 3.332 4.989
Pd 2.838 1.111 3.015
Pd 3.844 3.332 0.942
Pd 3.218 1.111 8.641
Pd 4.224 3.332 6.568
Pd 5.597 1.111 4.593
Pd 5.940 1.111 7.552
Pd 6.735 3.332 2.602
Pd 7.829 1.111 0.764
```


# 2
Here is a relaxed LiEuY2 crystal from the Alexandria database. Energies are from PBE.

Properties
E above lowest polymorph: 0.000 eV per atom
total magnetic moment: 7.43 μB/f.u.
space-group type: No. 123
ΔE_f: 0.206 eV/atom
crystal system: tetragonal

extended XYZ file:
```
4
Lattice="5.601 0.000 0.000 0.000 5.601 0.000 0.000 0.000 3.955" Properties=species:S:1:pos:R:3 pbc="T T T"
Li 0.000 0.000 0.000
Eu 2.800 2.800 0.000
Y 0.000 2.800 1.978
Y 2.800 0.000 1.978
```


# 3
Here is a relaxed TeAu3O crystal from the Alexandria database. Energies are from PBE.

Properties
E above lowest polymorph: 0.000 eV per atom
uncorrected formation energy: 0.39 eV/atom
total magnetic moment: 0.00 μB/f.u.
space-group type: No. 221
crystal system: cubic

extended XYZ file:
```
5
Lattice="4.595 0.000 0.000 0.000 4.595 0.000 0.000 0.000 4.595" Properties=species:S:1:pos:R:3 pbc="T T T"
Te 0.000 0.000 0.000
Au 0.000 2.298 2.298
Au 2.298 0.000 2.298
Au 2.298 2.298 0.000
O 2.298 2.298 2.298
```


For the records above, the corresponding Fermi-level density of states values read 0.565; 1.092; 0.557 states/eV per atom.